Rb2GaBr2 (GGA-PBE, optimized geometry); SG = No. 127; formation energy (no corrections) = -1.03 eV/atom; ΔE to the lowest computed polymorph = 0.000 eV per formula unit; calculated volume = 37.4 A^3/atom
1.0
9.061 0.000 0.000
0.000 9.061 0.000
0.000 0.000 4.557
Rb Ga Br
4 2 4
Direct
0.152 0.348 0.000 Rb
0.348 0.848 0.000 Rb
0.652 0.152 0.000 Rb
0.848 0.652 0.000 Rb
0.000 0.000 0.500 Ga
0.500 0.500 0.500 Ga
0.154 0.654 0.500 Br
0.346 0.154 0.500 Br
0.654 0.846 0.500 Br
0.846 0.346 0.500 Br